(1)
This record from the Alexandria database describes a relaxed structure of Al2ReNiW. The functional is PBE-GGA.

## Properties
calculated formation energy = 124.7 kJ/mol of atoms
crystal system = tetragonal

Unit cell a=4.6896 b=4.6896 c=4.7900 alpha=90.00 beta=90.00 gamma=90.00
Atoms (fractional coordinates):
Al (0.0000, 0.5000, 0.0000)
Al (0.5000, 0.0000, 0.0000)
Re (0.0000, 0.0000, 0.0000)
Ni (0.5000, 0.5000, 0.5000)
W (0.0000, 0.0000, 0.5000)



(2)
This record from the Alexandria database describes a relaxed structure of TaTeBrN2. The functional is PBE-GGA.

## Properties
formation energy from raw total energies = 0.3076 eV/atom
crystal system = tetragonal
energy above the most stable polymorph in this dataset = 0.000 eV/atom

Unit cell a=4.0676 b=4.0676 c=5.9714 alpha=90.00 beta=90.00 gamma=90.00
Atoms (fractional coordinates):
Ta (0.0000, 0.0000, 0.0000)
Te (0.0000, 0.0000, 0.5000)
Br (0.5000, 0.5000, 0.5000)
N (0.0000, 0.5000, 0.0000)
N (0.5000, 0.0000, 0.0000)



Number 1: VASP energy -32.204 eV/cell. Number 2: VASP energy -31.780 eV/cell.